No. 1
VASP calculation (PBE) on an optimized crystal structure of DySnB2O6.

Properties
Magnetization ... 0.00 μB/f.u.
N(E_F) ... 0.85 states/eV/f.u.
Total energy ... -7.61 eV per atom
SG ... C2/c (15)
Formation energy without anion corrections ... -24.40 eV/f.u.

Cell lengths 6.4325, 6.4325, 6.4658 Å; angles 100.28, 100.28, 102.07 degrees
Element x y z (fractional)
1 O 0.9666 0.8049 0.8844
2 O 0.0562 0.4654 0.7597
3 O 0.4758 0.2935 0.8863
4 O 0.1951 0.0334 0.6156
5 O 0.5242 0.7065 0.1137
6 O 0.0334 0.1951 0.1156
7 O 0.4654 0.0562 0.2597
8 O 0.2935 0.4758 0.3863
9 O 0.8049 0.9666 0.3844
10 O 0.7065 0.5242 0.6137
11 O 0.9438 0.5346 0.2403
12 O 0.5346 0.9438 0.7403
13 Dy 0.4133 0.5867 0.7500
14 Dy 0.5867 0.4133 0.2500
15 B 0.4068 0.0907 0.7496
16 B 0.5932 0.9093 0.2504
17 B 0.9093 0.5932 0.7504
18 B 0.0907 0.4068 0.2496
19 Sn 0.9090 0.0910 0.7500
20 Sn 0.0910 0.9090 0.2500

=====

No. 2
VASP calculation (PBE) on an optimized crystal structure of DySnBO5.

Properties
Magnetization ... 0.00 μB/f.u.
N(E_F) ... 0.00 states/eV/f.u.
Total energy ... -7.44 eV per atom
SG ... C2/c (15)
Formation energy without anion corrections ... -19.41 eV/f.u.

Cell lengths 5.3886, 5.3886, 6.9603 Å; angles 102.44, 102.44, 106.75 degrees
Element x y z (fractional)
1 O 0.4189 0.2674 0.0876
2 O 0.7326 0.5811 0.4124
3 O 0.6658 0.1004 0.3590
4 O 0.5811 0.7326 0.9124
5 O 0.8996 0.3342 0.1410
6 O 0.1004 0.6658 0.8590
7 O 0.8995 0.1005 0.7500
8 O 0.3342 0.8996 0.6410
9 O 0.2674 0.4189 0.5876
10 O 0.1005 0.8995 0.2500
11 Sn 0.0000 0.0000 0.5000
12 Sn 0.0000 0.0000 0.0000
13 B 0.3150 0.6850 0.7500
14 B 0.6850 0.3150 0.2500
15 Dy 0.6469 0.3531 0.7500
16 Dy 0.3531 0.6469 0.2500

=====

No. 3
VASP calculation (PBE) on an optimized crystal structure of DyThB2O8.

Properties
Magnetization ... 3.03 μB/f.u.
N(E_F) ... 4.35 states/eV/f.u.
Total energy ... -7.90 eV per atom
SG ... I-4 (82)
Formation energy without anion corrections ... -29.72 eV/f.u.

Cell lengths 4.7250, 4.7250, 6.6384 Å; angles 110.85, 110.85, 90.00 degrees
Each line ends with the local moment (μB).
Element x y z (fractional)
1 O 0.0830 0.4352 0.3599  0.32
2 O 0.6753 0.3237 0.8643  0.35
3 O 0.5648 0.7231 0.6401  0.32
4 O 0.6763 0.8110 0.1357  0.35
5 O 0.4594 0.3247 0.1357  0.35
6 O 0.0752 0.9170 0.6401  0.32
7 O 0.1890 0.5406 0.8643  0.35
8 O 0.2769 0.9248 0.3599  0.32
9 B 0.5000 0.5000 0.0000  -0.03
10 B 0.2500 0.7500 0.5000  -0.02
11 Th 0.7500 0.2500 0.5000  -0.02
12 Dy 0.0000 0.0000 0.0000  -0.03

=====

No. 4
VASP calculation (PBE) on an optimized crystal structure of DyTl3B2O6.

Properties
Magnetization ... 0.00 μB/f.u.
N(E_F) ... 0.00 states/eV/f.u.
Total energy ... -6.62 eV per atom
SG ... P-3m1 (164)
Formation energy without anion corrections ... -24.64 eV/f.u.

Cell lengths 5.5198, 5.5198, 7.5027 Å; angles 90.00, 90.00, 120.00 degrees
Element x y z (fractional)
1 Tl 0.6667 0.3333 0.2121
2 Tl 0.3333 0.6667 0.7879
3 Tl 0.0000 0.0000 0.0000
4 O 0.6241 0.8120 0.3156
5 O 0.8120 0.1880 0.6844
6 O 0.1880 0.3759 0.3156
7 O 0.8120 0.6241 0.6844
8 O 0.3759 0.1880 0.6844
9 O 0.1880 0.8120 0.3156
10 B 0.3333 0.6667 0.3163
11 B 0.6667 0.3333 0.6837
12 Dy 0.0000 0.0000 0.5000